The following is a PBE-GGA calculation of an optimized crystal structure of DyPF, from the Alexandria database.

volume = 51.6 Å³/cell
density of states at the Fermi level = 0.462 states/eV/atom
relative energy among the computed polymorphs = 280 meV/atom
formation energy (no corrections) = -1.779 eV/atom
space-group type = No. 107

abc: 3.2327 3.2327 5.4446
angles: 107.27 107.27 90.00
Fractional positions:
F 0.2887 0.2887 0.5774
Dy 0.7036 0.7036 0.4072
P 0.0077 0.0077 0.0154